1.
DFT (PBE) results for crystalline CdSb2I at its relaxed geometry.

Results
- ΔE_f (raw) (eV per atom) = 0.076
- calculated volume (Å³/f.u.) = 127.41
- DFT total energy (eV per formula unit) = -10.4
- distance to the lowest polymorph of the same formula (meV per atom) = 0
- SG = No. 122

Cell lengths 12.940, 12.940, 12.940 Å; angles 159.94, 159.94, 28.52 degrees
Element x y z (fractional)
Cd (0.000, 0.000, 0.000)
Cd (0.750, 0.250, 0.500)
Sb (0.075, 0.625, 0.950)
Sb (0.375, 0.325, 0.450)
Sb (0.675, 0.125, 0.050)
Sb (0.875, 0.925, 0.550)
I (0.250, 0.750, 0.500)
I (0.500, 0.500, 0.000)

---

2.
DFT (PBE) results for crystalline Cd4Sb2I3 at its relaxed geometry.

Results
- ΔE_f (raw) (eV per atom) = -0.201
- calculated volume (Å³/f.u.) = 361.25
- DFT total energy (eV per formula unit) = -18.4
- distance to the lowest polymorph of the same formula (meV per atom) = 134
- SG = No. 15

Cell lengths 10.120, 10.120, 7.262 Å; angles 98.88, 98.88, 83.09 degrees
Element x y z (fractional)
Cd (0.022, 0.200, 0.112)
Cd (0.200, 0.022, 0.612)
Cd (0.331, 0.355, 0.408)
Cd (0.355, 0.331, 0.908)
Cd (0.645, 0.669, 0.092)
Cd (0.669, 0.645, 0.592)
Cd (0.800, 0.978, 0.388)
Cd (0.978, 0.800, 0.888)
Sb (0.133, 0.433, 0.106)
Sb (0.433, 0.133, 0.606)
Sb (0.567, 0.867, 0.394)
Sb (0.867, 0.567, 0.894)
I (0.052, 0.791, 0.473)
I (0.209, 0.948, 0.027)
I (0.407, 0.593, 0.750)
I (0.593, 0.407, 0.250)
I (0.791, 0.052, 0.973)
I (0.948, 0.209, 0.527)

---

3.
DFT (PBE) results for crystalline CdSb3I at its relaxed geometry.

Results
- ΔE_f (raw) (eV per atom) = 0.708
- calculated volume (Å³/f.u.) = 174.79
- DFT total energy (eV per formula unit) = -11.3
- distance to the lowest polymorph of the same formula (meV per atom) = 0
- SG = No. 221

Cell lengths 5.591, 5.591, 5.591 Å; angles 90.00, 90.00, 90.00 degrees
Element x y z (fractional)
Cd (0.000, 0.000, 0.000)
Sb (0.000, 0.000, 0.500)
Sb (0.000, 0.500, 0.000)
Sb (0.500, 0.000, 0.000)
I (0.500, 0.500, 0.500)

---

4.
DFT (PBE) results for crystalline CdSbI at its relaxed geometry.

Results
- ΔE_f (raw) (eV per atom) = -0.287
- calculated volume (Å³/f.u.) = 113.17
- DFT total energy (eV per formula unit) = -7.4
- distance to the lowest polymorph of the same formula (meV per atom) = 24
- SG = No. 8

Cell lengths 6.973, 6.973, 8.582 Å; angles 111.71, 111.71, 36.08 degrees
Element x y z (fractional)
Cd (0.000, 0.000, 0.000)
Cd (0.213, 0.213, 0.671)
Sb (0.352, 0.352, 0.489)
Sb (0.995, 0.995, 0.671)
I (0.578, 0.578, 0.242)
I (0.767, 0.767, 0.947)

---

5.
DFT (PBE) results for crystalline Cd2Sb2I at its relaxed geometry.

Results
- ΔE_f (raw) (eV per atom) = 0.002
- calculated volume (Å³/f.u.) = 155.87
- DFT total energy (eV per formula unit) = -11.6
- distance to the lowest polymorph of the same formula (meV per atom) = 100
- SG = No. 139

Cell lengths 6.459, 6.459, 6.459 Å; angles 129.63, 129.63, 73.99 degrees
Element x y z (fractional)
Cd (0.250, 0.750, 0.500)
Cd (0.750, 0.250, 0.500)
Sb (0.137, 0.137, 0.000)
Sb (0.863, 0.863, 0.000)
I (0.500, 0.500, 0.000)

---

6.
DFT (PBE) results for crystalline Cd4Sb2I3 at its relaxed geometry.

Results
- ΔE_f (raw) (eV per atom) = -0.335
- calculated volume (Å³/f.u.) = 332.12
- DFT total energy (eV per formula unit) = -19.6
- distance to the lowest polymorph of the same formula (meV per atom) = 0
- SG = No. 205

Cell lengths 13.850, 13.850, 13.850 Å; angles 90.00, 90.00, 90.00 degrees
Element x y z (fractional)
Cd (0.018, 0.245, 0.532)
Cd (0.018, 0.255, 0.032)
Cd (0.032, 0.018, 0.255)
Cd (0.032, 0.482, 0.755)
Cd (0.223, 0.723, 0.777)
Cd (0.223, 0.777, 0.277)
Cd (0.245, 0.532, 0.018)
Cd (0.245, 0.968, 0.518)
Cd (0.255, 0.032, 0.018)
Cd (0.255, 0.468, 0.518)
Cd (0.277, 0.223, 0.777)
Cd (0.277, 0.277, 0.277)
Cd (0.468, 0.518, 0.255)
Cd (0.468, 0.982, 0.755)
Cd (0.482, 0.745, 0.532)
Cd (0.482, 0.755, 0.032)
Cd (0.518, 0.245, 0.968)
Cd (0.518, 0.255, 0.468)
Cd (0.532, 0.018, 0.245)
Cd (0.532, 0.482, 0.745)
Cd (0.723, 0.723, 0.723)
Cd (0.723, 0.777, 0.223)
Cd (0.745, 0.532, 0.482)
Cd (0.745, 0.968, 0.982)
Cd (0.755, 0.032, 0.482)
Cd (0.755, 0.468, 0.982)
Cd (0.777, 0.223, 0.723)
Cd (0.777, 0.277, 0.223)
Cd (0.968, 0.518, 0.245)
Cd (0.968, 0.982, 0.745)
Cd (0.982, 0.745, 0.968)
Cd (0.982, 0.755, 0.468)
Sb (0.059, 0.059, 0.059)
Sb (0.059, 0.441, 0.559)
Sb (0.107, 0.607, 0.893)
Sb (0.107, 0.893, 0.393)
Sb (0.393, 0.107, 0.893)
Sb (0.393, 0.393, 0.393)
Sb (0.441, 0.559, 0.059)
Sb (0.441, 0.941, 0.559)
Sb (0.559, 0.059, 0.441)
Sb (0.559, 0.441, 0.941)
Sb (0.607, 0.607, 0.607)
Sb (0.607, 0.893, 0.107)
Sb (0.893, 0.107, 0.607)
Sb (0.893, 0.393, 0.107)
Sb (0.941, 0.559, 0.441)
Sb (0.941, 0.941, 0.941)
I (0.070, 0.234, 0.318)
I (0.070, 0.266, 0.818)
I (0.182, 0.570, 0.234)
I (0.182, 0.930, 0.734)
I (0.234, 0.182, 0.570)
I (0.234, 0.318, 0.070)
I (0.266, 0.682, 0.570)
I (0.266, 0.818, 0.070)
I (0.318, 0.070, 0.234)
I (0.318, 0.430, 0.734)
I (0.430, 0.734, 0.318)
I (0.430, 0.766, 0.818)
I (0.570, 0.234, 0.182)
I (0.570, 0.266, 0.682)
I (0.682, 0.570, 0.266)
I (0.682, 0.930, 0.766)
I (0.734, 0.182, 0.930)
I (0.734, 0.318, 0.430)
I (0.766, 0.682, 0.930)
I (0.766, 0.818, 0.430)
I (0.818, 0.070, 0.266)
I (0.818, 0.430, 0.766)
I (0.930, 0.734, 0.182)
I (0.930, 0.766, 0.682)

---

7.
DFT (PBE) results for crystalline Cd3SbI at its relaxed geometry.

Results
- ΔE_f (raw) (eV per atom) = -0.036
- calculated volume (Å³/f.u.) = 179.56
- DFT total energy (eV per formula unit) = -8.6
- distance to the lowest polymorph of the same formula (meV per atom) = 0
- SG = No. 161

Cell lengths 7.938, 7.938, 7.938 Å; angles 60.67, 60.67, 60.67 degrees
Element x y z (fractional)
Cd (0.068, 0.267, 0.665)
Cd (0.165, 0.767, 0.568)
Cd (0.267, 0.665, 0.068)
Cd (0.568, 0.165, 0.767)
Cd (0.665, 0.068, 0.267)
Cd (0.767, 0.568, 0.165)
Sb (0.418, 0.418, 0.418)
Sb (0.918, 0.918, 0.918)
I (0.169, 0.169, 0.169)
I (0.669, 0.669, 0.669)

---

8.
DFT (PBE) results for crystalline CdSbI at its relaxed geometry.

Results
- ΔE_f (raw) (eV per atom) = -0.214
- calculated volume (Å³/f.u.) = 107.67
- DFT total energy (eV per formula unit) = -7.2
- distance to the lowest polymorph of the same formula (meV per atom) = 97
- SG = No. 12

Cell lengths 4.372, 4.372, 13.561 Å; angles 97.31, 97.31, 57.10 degrees
Element x y z (fractional)
Cd (0.041, 0.041, 0.277)
Cd (0.959, 0.959, 0.723)
Sb (0.363, 0.363, 0.563)
Sb (0.637, 0.637, 0.437)
I (0.299, 0.299, 0.853)
I (0.701, 0.701, 0.147)

---

9.
DFT (PBE) results for crystalline CdSbI at its relaxed geometry.

Results
- ΔE_f (raw) (eV per atom) = -0.259
- calculated volume (Å³/f.u.) = 122.04
- DFT total energy (eV per formula unit) = -7.4
- distance to the lowest polymorph of the same formula (meV per atom) = 52
- SG = No. 12

Cell lengths 7.721, 7.721, 8.589 Å; angles 114.79, 114.79, 31.99 degrees
Element x y z (fractional)
Cd (0.177, 0.177, 0.124)
Cd (0.823, 0.823, 0.876)
Sb (0.175, 0.175, 0.445)
Sb (0.825, 0.825, 0.555)
I (0.392, 0.392, 0.145)
I (0.608, 0.608, 0.855)

---

10.
DFT (PBE) results for crystalline CdSb2I at its relaxed geometry.

Results
- ΔE_f (raw) (eV per atom) = 0.365
- calculated volume (Å³/f.u.) = 114.29
- DFT total energy (eV per formula unit) = -9.2
- distance to the lowest polymorph of the same formula (meV per atom) = 289
- SG = No. 225

Cell lengths 5.447, 5.447, 5.447 Å; angles 60.00, 60.00, 60.00 degrees
Element x y z (fractional)
Cd (0.000, 0.000, 0.000)
Sb (0.250, 0.250, 0.250)
Sb (0.750, 0.750, 0.750)
I (0.500, 0.500, 0.500)

---

11.
DFT (PBE) results for crystalline Cd2Sb2I at its relaxed geometry.

Results
- ΔE_f (raw) (eV per atom) = -0.098
- calculated volume (Å³/f.u.) = 170.30
- DFT total energy (eV per formula unit) = -12.1
- distance to the lowest polymorph of the same formula (meV per atom) = 0
- SG = No. 12

Cell lengths 5.017, 5.017, 9.187 Å; angles 91.67, 91.67, 47.46 degrees
Element x y z (fractional)
Cd (0.020, 0.020, 0.239)
Cd (0.980, 0.980, 0.761)
Sb (0.269, 0.269, 0.885)
Sb (0.731, 0.731, 0.115)
I (0.500, 0.500, 0.500)

---

12.
DFT (PBE) results for crystalline Cd2Sb2I at its relaxed geometry.

Results
- ΔE_f (raw) (eV per atom) = 0.049
- calculated volume (Å³/f.u.) = 149.89
- DFT total energy (eV per formula unit) = -11.4
- distance to the lowest polymorph of the same formula (meV per atom) = 147
- SG = No. 139

Cell lengths 8.288, 8.288, 8.288 Å; angles 149.08, 149.08, 44.30 degrees
Element x y z (fractional)
Cd (0.097, 0.097, 0.000)
Cd (0.903, 0.903, 0.000)
Sb (0.250, 0.750, 0.500)
Sb (0.750, 0.250, 0.500)
I (0.500, 0.500, 0.000)

---

13.
DFT (PBE) results for crystalline CdSbI at its relaxed geometry.

Results
- ΔE_f (raw) (eV per atom) = -0.311
- calculated volume (Å³/f.u.) = 127.53
- DFT total energy (eV per formula unit) = -7.5
- distance to the lowest polymorph of the same formula (meV per atom) = 0
- SG = No. 11

Cell lengths 5.018, 4.352, 11.937 Å; angles 90.00, 101.91, 90.00 degrees
Element x y z (fractional)
Cd (0.097, 0.250, 0.198)
Cd (0.903, 0.750, 0.802)
Sb (0.461, 0.750, 0.919)
Sb (0.539, 0.250, 0.081)
I (0.176, 0.750, 0.357)
I (0.824, 0.250, 0.643)

---

14.
DFT (PBE) results for crystalline ScCdSbI2 at its relaxed geometry.

Results
- ΔE_f (raw) (eV per atom) = 0.327
- calculated volume (Å³/f.u.) = 185.40
- DFT total energy (eV per formula unit) = -12.8
- distance to the lowest polymorph of the same formula (meV per atom) = 621
- SG = No. 123

Cell lengths 5.687, 5.687, 5.732 Å; angles 90.00, 90.00, 90.00 degrees
Element x y z (fractional)
Sc (0.000, 0.000, 0.000)
Cd (0.500, 0.500, 0.500)
Sb (0.500, 0.500, 0.000)
I (0.000, 0.500, 0.500)
I (0.500, 0.000, 0.500)

---

15.
DFT (PBE) results for crystalline ScCdSbI2 at its relaxed geometry.

Results
- ΔE_f (raw) (eV per atom) = 0.171
- calculated volume (Å³/f.u.) = 219.25
- DFT total energy (eV per formula unit) = -13.6
- distance to the lowest polymorph of the same formula (meV per atom) = 465
- SG = No. 123

Cell lengths 6.317, 6.317, 5.495 Å; angles 90.00, 90.00, 90.00 degrees
Element x y z (fractional)
Sc (0.000, 0.000, 0.000)
Cd (0.500, 0.500, 0.000)
Sb (0.000, 0.000, 0.500)
I (0.000, 0.500, 0.500)
I (0.500, 0.000, 0.500)

---

16.
DFT (PBE) results for crystalline ScCdSbI2 at its relaxed geometry.

Results
- ΔE_f (raw) (eV per atom) = -0.294
- calculated volume (Å³/f.u.) = 185.80
- DFT total energy (eV per formula unit) = -15.9
- distance to the lowest polymorph of the same formula (meV per atom) = 0
- SG = No. 123

Cell lengths 5.642, 5.642, 5.838 Å; angles 90.00, 90.00, 90.00 degrees
Element x y z (fractional)
Sc (0.000, 0.000, 0.000)
Cd (0.500, 0.500, 0.500)
Sb (0.000, 0.000, 0.500)
I (0.000, 0.500, 0.000)
I (0.500, 0.000, 0.000)

---

17.
DFT (PBE) results for crystalline CdSbSeI2 at its relaxed geometry.

Results
- ΔE_f (raw) (eV per atom) = 0.385
- calculated volume (Å³/f.u.) = 192.19
- DFT total energy (eV per formula unit) = -9.7
- distance to the lowest polymorph of the same formula (meV per atom) = 0
- SG = No. 123

Cell lengths 5.912, 5.912, 5.498 Å; angles 90.00, 90.00, 90.00 degrees
Element x y z (fractional)
Cd (0.000, 0.000, 0.000)
Sb (0.500, 0.500, 0.000)
Se (0.500, 0.500, 0.500)
I (0.000, 0.500, 0.500)
I (0.500, 0.000, 0.500)

---

18.
DFT (PBE) results for crystalline CdSb2SeI at its relaxed geometry.

Results
- ΔE_f (raw) (eV per atom) = 0.740
- calculated volume (Å³/f.u.) = 174.99
- DFT total energy (eV per formula unit) = -10.5
- distance to the lowest polymorph of the same formula (meV per atom) = 182
- SG = No. 123

Cell lengths 5.630, 5.630, 5.520 Å; angles 90.00, 90.00, 90.00 degrees
Element x y z (fractional)
Cd (0.000, 0.000, 0.000)
Sb (0.000, 0.500, 0.000)
Sb (0.500, 0.000, 0.000)
Se (0.500, 0.500, 0.500)
I (0.000, 0.000, 0.500)

---

19.
DFT (PBE) results for crystalline CdSb2SeI at its relaxed geometry.

Results
- ΔE_f (raw) (eV per atom) = 0.558
- calculated volume (Å³/f.u.) = 177.50
- DFT total energy (eV per formula unit) = -11.4
- distance to the lowest polymorph of the same formula (meV per atom) = 0
- SG = No. 123

Cell lengths 5.494, 5.494, 5.880 Å; angles 90.00, 90.00, 90.00 degrees
Element x y z (fractional)
Cd (0.000, 0.000, 0.000)
Sb (0.000, 0.500, 0.500)
Sb (0.500, 0.000, 0.500)
Se (0.500, 0.500, 0.500)
I (0.500, 0.500, 0.000)

---

20.
DFT (PBE) results for crystalline CdSbSeI2 at its relaxed geometry.

Results
- ΔE_f (raw) (eV per atom) = 0.539
- calculated volume (Å³/f.u.) = 191.02
- DFT total energy (eV per formula unit) = -8.9
- distance to the lowest polymorph of the same formula (meV per atom) = 154
- SG = No. 123

Cell lengths 5.682, 5.682, 5.917 Å; angles 90.00, 90.00, 90.00 degrees
Element x y z (fractional)
Cd (0.000, 0.000, 0.000)
Sb (0.000, 0.000, 0.500)
Se (0.500, 0.500, 0.500)
I (0.000, 0.500, 0.000)
I (0.500, 0.000, 0.000)